First-principles (PBE+U) data for a relaxed structure of ZrTl2NiO, as listed in Alexandria via LeMat-Bulk.

a b c (Å): 5.194 5.194 3.666
angles (deg): 90.00 90.00 90.00
Positions (direct):
1 Ni 0.000 0.000 0.500
2 Tl 0.000 0.500 0.000
3 Tl 0.500 0.000 0.000
4 O 0.000 0.000 0.000
5 Zr 0.500 0.500 0.500

Symmetry: No. 123
Distance to the lowest polymorph of the same formula: 0.000 eV per atom
Spin magnetization: 0.26 μB per formula unit